Computed, not measured: a relaxed structure of AcDyNp at the GGA-PBE level of DFT.

Cell and atoms, written as POSCAR:
```
AcDyNp
1.0
0.0000 3.8120 3.8120
3.8120 0.0000 3.8120
3.8120 3.8120 0.0000
Ac Dy Np
1 1 1
direct
0.0000 0.0000 0.0000
0.5000 0.5000 0.5000
0.2500 0.2500 0.2500
```

## Properties
Electronic total energy in eV/atom: -6.017
SG: F-43m (216)
Energy of formation in meV/atom: 1142
Crystal system: cubic
Energy relative to the lowest polymorph listed for this composition in meV/atom: 0
Volume in Å³ per cell: 111

Computed, not measured: a relaxed structure of NdP2H9O10 at the GGA-PBE level of DFT.

Cell and atoms, written as POSCAR:
```
NdP2H9O10
1.0
10.0914 0.0000 0.0000
0.0000 11.3578 0.0000
0.0000 0.0000 7.1395
Nd P H O
4 8 36 40
direct
0.2428 0.2500 0.2500
0.2572 0.7500 0.2500
0.7428 0.2500 0.7500
0.7572 0.7500 0.7500
0.0324 0.0697 0.5920
0.0324 0.4303 0.9080
0.4676 0.5697 0.9080
0.4676 0.9303 0.5920
0.5324 0.0697 0.4080
0.5324 0.4303 0.0920
0.9676 0.5697 0.0920
0.9676 0.9303 0.4080
0.0513 0.7380 0.5554
0.0513 0.7620 0.9446
0.1193 0.0097 0.1570
0.1193 0.4903 0.3430
0.1288 0.0694 0.9561
0.1288 0.4306 0.5439
0.1458 0.6431 0.6398
0.1458 0.8569 0.8602
0.2500 0.0000 0.7052
0.2500 0.5000 0.7948
0.3542 0.1431 0.8602
0.3542 0.3569 0.6398
0.3712 0.5694 0.5439
0.3712 0.9306 0.9561
0.3807 0.5097 0.3430
0.3807 0.9903 0.1570
0.4487 0.2380 0.9446
0.4487 0.2620 0.5554
0.5513 0.7380 0.4446
0.5513 0.7620 0.0554
0.6193 0.0097 0.8430
0.6193 0.4903 0.6570
0.6288 0.0694 0.0439
0.6288 0.4306 0.4561
0.6458 0.6431 0.3602
0.6458 0.8569 0.1398
0.7500 0.0000 0.2948
0.7500 0.5000 0.2052
0.8542 0.1431 0.1398
0.8542 0.3569 0.3602
0.8712 0.5694 0.4561
0.8712 0.9306 0.0439
0.8807 0.5097 0.6570
0.8807 0.9903 0.8430
0.9487 0.2380 0.0554
0.9487 0.2620 0.4446
0.0913 0.6045 0.2024
0.0913 0.8955 0.2976
0.0917 0.1686 0.4758
0.0917 0.3314 0.0242
0.1302 0.0868 0.0918
0.1302 0.4132 0.4082
0.1336 0.0123 0.7301
0.1336 0.4877 0.7699
0.1447 0.7120 0.5576
0.1447 0.7880 0.9424
0.3553 0.2120 0.9424
0.3553 0.2880 0.5576
0.3664 0.5123 0.7699
0.3664 0.9877 0.7301
0.3698 0.5868 0.4082
0.3698 0.9132 0.0918
0.4083 0.6686 0.0242
0.4083 0.8314 0.4758
0.4087 0.1045 0.2976
0.4087 0.3955 0.2024
0.5913 0.6045 0.7976
0.5913 0.8955 0.7024
0.5917 0.1686 0.5242
0.5917 0.3314 0.9758
0.6302 0.0868 0.9082
0.6302 0.4132 0.5918
0.6336 0.0123 0.2699
0.6336 0.4877 0.2301
0.6447 0.7120 0.4424
0.6447 0.7880 0.0576
0.8553 0.2120 0.0576
0.8553 0.2880 0.4424
0.8664 0.5123 0.2301
0.8664 0.9877 0.2699
0.8698 0.5868 0.5918
0.8698 0.9132 0.9082
0.9083 0.6686 0.9758
0.9083 0.8314 0.5242
0.9087 0.1045 0.7024
0.9087 0.3955 0.7976
```

## Properties
Electronic total energy in eV/atom: -5.957
SG: Pnna (52)
Crystal system: orthorhombic
Volume in Å³ per cell: 818

Computed, not measured: a relaxed structure of SnPd15 at the GGA-PBE level of DFT.

Cell and atoms, written as POSCAR:
```
SnPd15
1.0
5.5403 0.0000 0.0000
0.0000 3.9166 0.0000
-0.0177 0.0000 35.0012
Sn Pd
2 30
direct
0.1250 0.2500 0.2987
0.8750 0.7500 0.7013
0.1250 0.2500 0.0595
0.1249 0.2500 0.1391
0.1248 0.2500 0.2194
0.1245 0.2500 0.8204
0.1252 0.2500 0.9005
0.1253 0.2500 0.9801
0.1264 0.2500 0.7386
0.3743 0.7500 0.1796
0.3752 0.7500 0.0198
0.3752 0.7500 0.0995
0.3750 0.7500 0.6987
0.3752 0.7500 0.7806
0.3751 0.7500 0.8605
0.3750 0.7500 0.9402
0.3762 0.7500 0.2614
0.6238 0.2500 0.7386
0.6250 0.2500 0.0598
0.6249 0.2500 0.1395
0.6248 0.2500 0.2194
0.6250 0.2500 0.3013
0.6248 0.2500 0.9005
0.6248 0.2500 0.9802
0.6257 0.2500 0.8204
0.8736 0.7500 0.2614
0.8747 0.7500 0.0199
0.8748 0.7500 0.0995
0.8755 0.7500 0.1796
0.8752 0.7500 0.7806
0.8751 0.7500 0.8609
0.8750 0.7500 0.9405
```

## Properties
Electronic total energy in eV/atom: -5.129
SG: P2_1/m (11)
Crystal system: monoclinic
Energy relative to the lowest polymorph listed for this composition in meV/atom: 30
Volume in Å³ per cell: 760

Computed, not measured: a relaxed structure of Nb3B2S at the GGA-PBE level of DFT.

Cell and atoms, written as POSCAR:
```
Nb3B2S
1.0
3.3312 0.0000 0.0000
-1.6656 2.8849 0.0000
0.0000 0.0000 16.9906
Nb B S
6 4 2
direct
0.0000 0.0000 0.0000
0.0000 0.0000 0.5000
0.3333 0.6667 0.1474
0.3333 0.6667 0.3526
0.6667 0.3333 0.6474
0.6667 0.3333 0.8526
0.3333 0.6667 0.5773
0.3333 0.6667 0.9227
0.6667 0.3333 0.0773
0.6667 0.3333 0.4227
0.0000 0.0000 0.2500
0.0000 0.0000 0.7500
```

## Properties
Electronic total energy in eV/atom: -8.717
SG: P6_3/mmc (194)
Crystal system: hexagonal
Volume in Å³ per cell: 163

Computed, not measured: a relaxed structure of TcGe2Ir at the GGA-PBE level of DFT.

Cell and atoms, written as POSCAR:
```
TcGe2Ir
1.0
0.0000 3.1440 3.1440
3.1440 0.0000 3.1440
3.1440 3.1440 0.0000
Tc Ge Ir
1 2 1
direct
0.0000 0.0000 0.0000
0.5000 0.5000 0.5000
0.7500 0.7500 0.7500
0.2500 0.2500 0.2500
```

## Properties
Electronic total energy in eV/atom: -6.822
SG: F-43m (216)
Crystal system: cubic
Volume in Å³ per cell: 62

Computed, not measured: a relaxed structure of KCdFeS3 at the GGA-PBE level of DFT.

Cell and atoms, written as POSCAR:
```
KCdFeS3
1.0
8.5078 0.0000 0.0000
0.0000 3.8647 0.0000
-3.2977 0.0000 8.8483
K Cd Fe S
2 2 2 6
direct
0.2339 0.2500 0.2494
0.7661 0.7500 0.7506
0.3413 0.7500 0.8871
0.6587 0.2500 0.1129
0.0951 0.2500 0.6104
0.9049 0.7500 0.3896
0.0949 0.2500 0.8414
0.1845 0.7500 0.5256
0.4832 0.7500 0.1799
0.5168 0.2500 0.8201
0.8155 0.2500 0.4744
0.9051 0.7500 0.1586
```

## Properties
Electronic total energy in eV/atom: -4.344
SG: P2_1/m (11)
Crystal system: monoclinic
Volume in Å³ per cell: 291

Computed, not measured: a relaxed structure of DyErAl6 at the GGA-PBE level of DFT.

Cell and atoms, written as POSCAR:
```
DyErAl6
1.0
6.2470 0.0000 0.0000
-3.1235 5.4101 0.0000
0.0000 0.0000 4.6101
Dy Er Al
1 1 6
direct
0.0000 0.0000 0.0000
0.3333 0.6667 0.5000
0.3718 0.1859 0.5000
0.5187 0.0375 0.0000
0.5187 0.4813 0.0000
0.8141 0.1859 0.5000
0.8141 0.6282 0.5000
0.9625 0.4813 0.0000
```

## Properties
Electronic total energy in eV/atom: -4.377
SG: P-6m2 (187)
Crystal system: hexagonal
Volume in Å³ per cell: 156

Computed, not measured: a relaxed structure of Li4AsPd2Pb at the GGA-PBE level of DFT.

Cell and atoms, written as POSCAR:
```
Li4AsPd2Pb
1.0
4.3912 0.0000 0.0000
0.0000 4.3912 0.0000
0.0000 0.0000 6.3924
Li As Pd Pb
4 1 2 1
direct
0.0000 0.0000 0.0000
0.0000 0.5000 0.2212
0.5000 0.0000 0.7788
0.5000 0.5000 0.5000
0.5000 0.5000 0.0000
0.0000 0.5000 0.7772
0.5000 0.0000 0.2228
0.0000 0.0000 0.5000
```

## Properties
Electronic total energy in eV/atom: -3.833
SG: P-4m2 (115)
Crystal system: tetragonal
Volume in Å³ per cell: 123

Computed, not measured: a relaxed structure of K2Dy3HoC2 at the GGA-PBE level of DFT.

Cell and atoms, written as POSCAR:
```
K2Dy3HoC2
1.0
3.6206 0.0000 0.0000
-1.8103 3.1355 0.0000
0.0000 0.0000 20.6877
K Dy Ho C
2 3 1 2
direct
0.0000 0.0000 0.0000
0.3333 0.6667 0.4994
0.0000 0.0000 0.3137
0.0000 0.0000 0.6854
0.3333 0.6667 0.8143
0.3333 0.6667 0.1854
0.6667 0.3333 0.2490
0.6667 0.3333 0.7498
```

## Properties
Electronic total energy in eV/atom: -4.933
SG: P3m1 (156)
Crystal system: trigonal
Volume in Å³ per cell: 235

Computed, not measured: a relaxed structure of ZrBeNiHg at the GGA-PBE level of DFT.

Cell and atoms, written as POSCAR:
```
ZrBeNiHg
1.0
0.0000 3.1262 3.1262
3.1262 0.0000 3.1262
3.1262 3.1262 0.0000
Zr Be Ni Hg
1 1 1 1
direct
0.0000 0.0000 0.0000
0.2500 0.2500 0.2500
0.7500 0.7500 0.7500
0.5000 0.5000 0.5000
```

## Properties
Electronic total energy in eV/atom: -4.645
SG: F-43m (216)
Crystal system: cubic
Energy relative to the lowest polymorph listed for this composition in meV/atom: 0
Volume in Å³ per cell: 61

Computed, not measured: a relaxed structure of CdTeIr2Se3 at the GGA-PBE level of DFT.

Cell and atoms, written as POSCAR:
```
CdTeIr2Se3
1.0
5.6205 0.0000 0.0000
0.1889 6.1252 0.0000
2.5293 2.7386 4.8992
Cd Te Ir Se
1 1 2 3
direct
0.0000 0.0000 0.0000
0.4375 0.4141 0.6560
0.5731 0.4842 0.9793
0.7777 0.2563 0.3583
0.1521 0.5472 0.2392
0.4923 0.0328 0.2871
0.8718 0.8844 0.6789
```

## Properties
Electronic total energy in eV/atom: -4.639
SG: P1 (1)
Crystal system: triclinic
Volume in Å³ per cell: 169

Computed, not measured: a relaxed structure of CoReSiHg at the GGA-PBE level of DFT.

Cell and atoms, written as POSCAR:
```
CoReSiHg
1.0
0.0000 3.1204 3.1204
3.1204 0.0000 3.1204
3.1204 3.1204 0.0000
Co Re Si Hg
1 1 1 1
direct
0.0000 0.0000 0.0000
0.2500 0.2500 0.2500
0.7500 0.7500 0.7500
0.5000 0.5000 0.5000
```

## Properties
Electronic total energy in eV/atom: -5.312
SG: F-43m (216)
Crystal system: cubic
Energy relative to the lowest polymorph listed for this composition in meV/atom: 415
Volume in Å³ per cell: 61

Computed, not measured: a relaxed structure of NdTm4C2S at the GGA-PBE level of DFT.

Cell and atoms, written as POSCAR:
```
NdTm4C2S
1.0
3.5994 0.0000 0.0000
-1.7997 3.1171 0.0000
0.0000 0.0000 15.5261
Nd Tm C S
1 4 2 1
direct
0.0000 0.0000 0.0000
0.0000 0.0000 0.3808
0.0000 0.0000 0.6192
0.6667 0.3333 0.2116
0.6667 0.3333 0.7884
0.3333 0.6667 0.2940
0.3333 0.6667 0.7060
0.6667 0.3333 0.5000
```

## Properties
Electronic total energy in eV/atom: -6.407
SG: P-6m2 (187)
Crystal system: hexagonal
Volume in Å³ per cell: 174

Computed, not measured: a relaxed structure of Ba3Cd2Bi2P2 at the GGA-PBE level of DFT.

Cell and atoms, written as POSCAR:
```
Ba3Cd2Bi2P2
1.0
9.1032 -2.4103 0.0000
9.1032 2.4103 0.0000
-2.9510 0.0000 6.7300
Ba Cd Bi P
3 2 2 2
direct
0.0000 0.0000 0.0000
0.1249 0.1249 0.6578
0.8751 0.8751 0.3422
0.3375 0.3375 0.6414
0.6625 0.6625 0.3586
0.2100 0.2100 0.1992
0.7900 0.7900 0.8008
0.4930 0.4930 0.6468
0.5070 0.5070 0.3532
```

## Properties
Electronic total energy in eV/atom: -3.647
SG: C2/m (12)
Crystal system: monoclinic
Volume in Å³ per cell: 295

Computed, not measured: a relaxed structure of Pr4CI3Br2 at the GGA-PBE level of DFT.

Cell and atoms, written as POSCAR:
```
Pr4CI3Br2
1.0
9.6089 -2.0405 0.0000
9.6089 2.0405 0.0000
-2.1134 0.0000 8.6127
Pr C I Br
4 1 3 2
direct
0.0003 0.0003 0.1970
0.9997 0.9997 0.8030
0.3630 0.3630 0.9251
0.6370 0.6370 0.0749
0.5000 0.5000 0.0000
0.1707 0.1707 0.8202
0.5000 0.5000 0.5000
0.8293 0.8293 0.1798
0.1603 0.1603 0.3305
0.8397 0.8397 0.6695
```

## Properties
Electronic total energy in eV/atom: -4.879
SG: C2/m (12)
Crystal system: monoclinic
Energy relative to the lowest polymorph listed for this composition in meV/atom: 0
Volume in Å³ per cell: 338

Computed, not measured: a relaxed structure of Pr2SmAl7Ag2 at the GGA-PBE level of DFT.

Cell and atoms, written as POSCAR:
```
Pr2SmAl7Ag2
1.0
2.8276 1.6325 8.9301
-2.8276 1.6325 8.9301
0.0000 -3.2651 8.9301
Pr Sm Al Ag
2 1 7 2
direct
0.1416 0.1416 0.1416
0.8584 0.8584 0.8584
0.0000 0.0000 0.0000
0.0743 0.5859 0.5859
0.4141 0.4141 0.9257
0.4141 0.9257 0.4141
0.5000 0.5000 0.5000
0.5859 0.0743 0.5859
0.5859 0.5859 0.0743
0.9257 0.4141 0.4141
0.3360 0.3360 0.3360
0.6640 0.6640 0.6640
```

## Properties
Electronic total energy in eV/atom: -4.295
SG: R-3m (166)
Crystal system: trigonal
Volume in Å³ per cell: 247

Computed, not measured: a relaxed structure of NaU at the GGA-PBE level of DFT.

Cell and atoms, written as POSCAR:
```
NaU
1.0
2.9331 0.0000 0.0000
-1.4666 2.5401 0.0000
0.0000 0.0000 6.3710
Na U
1 1
direct
0.0000 0.0000 0.0000
0.6667 0.3333 0.5000
```

## Properties
Electronic total energy in eV/atom: -5.705
SG: P-6m2 (187)
Crystal system: hexagonal
Energy relative to the lowest polymorph listed for this composition in meV/atom: 0
Volume in Å³ per cell: 47

Computed, not measured: a relaxed structure of HgBiNO at the GGA-PBE level of DFT.

Cell and atoms, written as POSCAR:
```
HgBiNO
1.0
5.1129 0.0000 0.0000
0.0000 5.1129 0.0000
0.0000 0.0000 4.7832
Hg Bi N O
2 2 2 2
direct
0.2500 0.2500 0.0011
0.7500 0.7500 0.9989
0.2500 0.7500 0.5000
0.7500 0.2500 0.5000
0.2500 0.2500 0.5010
0.7500 0.7500 0.4990
0.2500 0.7500 0.0000
0.7500 0.2500 0.0000
```

## Properties
Electronic total energy in eV/atom: -4.171
SG: P4/nmm (129)
Crystal system: tetragonal
Energy relative to the lowest polymorph listed for this composition in meV/atom: 167
Volume in Å³ per cell: 125

Computed, not measured: a relaxed structure of LuAlNiAg at the GGA-PBE level of DFT.

Cell and atoms, written as POSCAR:
```
LuAlNiAg
1.0
0.0000 3.2655 3.2655
3.2655 0.0000 3.2655
3.2655 3.2655 0.0000
Lu Al Ni Ag
1 1 1 1
direct
0.0000 0.0000 0.0000
0.2500 0.2500 0.2500
0.5000 0.5000 0.5000
0.7500 0.7500 0.7500
```

## Properties
Electronic total energy in eV/atom: -4.323
SG: F-43m (216)
Crystal system: cubic
Volume in Å³ per cell: 70

Computed, not measured: a relaxed structure of Gd6CoBr10 at the GGA-PBE level of DFT.

Cell and atoms, written as POSCAR:
```
Gd6CoBr10
1.0
7.3819 0.0000 0.0000
-2.4583 8.7762 0.0000
-1.1783 -3.3880 8.5454
Gd Co Br
6 1 10
direct
0.0278 0.2126 0.4112
0.1226 0.5449 0.2543
0.3624 0.6372 0.6801
0.6376 0.3628 0.3199
0.8774 0.4551 0.7457
0.9722 0.7874 0.5888
0.0000 0.5000 0.5000
0.0862 0.8702 0.3269
0.2049 0.2375 0.1497
0.2572 0.5859 0.9593
0.3579 0.9603 0.7740
0.4511 0.3208 0.5842
0.5489 0.6792 0.4158
0.6421 0.0397 0.2260
0.7428 0.4141 0.0407
0.7951 0.7625 0.8503
0.9138 0.1298 0.6731
```

## Properties
Electronic total energy in eV/atom: -4.603
SG: P-1 (2)
Crystal system: triclinic
Volume in Å³ per cell: 554